RbHg6Br12 PBE relaxed; DOS(E_F) = 0.143 states/eV/atom; ΔE_f (raw) = -0.52 eV/atom; VASP energy = -1.7268 eV/atom; energy relative to the lowest polymorph listed for this composition = 0 meV per atom
1.0
8.777 5.067 2.840
-8.777 5.067 2.840
0.000 -10.134 2.840
Rb Hg Br
1 6 12
direct
0.000 0.000 0.000
0.204 0.662 0.349
0.338 0.651 0.796
0.349 0.204 0.662
0.651 0.796 0.338
0.662 0.349 0.204
0.796 0.338 0.651
0.105 0.669 0.836
0.157 0.302 0.532
0.164 0.895 0.331
0.302 0.532 0.157
0.331 0.164 0.895
0.468 0.843 0.698
0.532 0.157 0.302
0.669 0.836 0.105
0.698 0.468 0.843
0.836 0.105 0.669
0.843 0.698 0.468
0.895 0.331 0.164

CrIrOs2 PBE relaxed; DOS(E_F) = 0.737 states/eV/atom; formation energy = 27.30 kJ per mole of atoms; VASP energy = -9.9530 eV/atom; energy relative to the lowest polymorph listed for this composition = 305 meV per atom
1.0
3.576 -2.179 0.000
3.576 2.179 0.000
-3.504 0.000 3.815
Cr Ir Os
1 1 2
direct
0.000 0.000 0.000
0.161 0.161 0.655
0.490 0.490 0.321
0.660 0.660 0.993

Na2Cu2Hg PBE relaxed; DOS(E_F) = 0.346 states/eV/atom; formation energy = 7.62 kJ per mole of atoms; VASP energy = -2.1475 eV/atom; energy relative to the lowest polymorph listed for this composition = 0 meV per atom
1.0
-1.700 1.700 9.519
1.700 -1.700 9.519
1.700 1.700 -9.519
Na Cu Hg
2 2 1
direct
0.120 0.120 0.000
0.880 0.880 0.000
0.250 0.750 0.500
0.750 0.250 0.500
0.500 0.500 0.000

Number 1: M_tot 0.000 μB/cell, theoretical density 4.9 Mg/m³. Number 2: M_tot 0.000 μB/cell, theoretical density 17.4 Mg/m³. Number 3: M_tot 0.000 μB/cell, theoretical density 5.6 Mg/m³.